The following is a DFT calculation (PBE with a Hubbard U) of crystalline VPtCF2 at its relaxed geometry.

Structure (POSCAR):
```
VPtCF2
1.0
-2.9170 1.7733 -2.3482
-0.5910 -3.5921 -1.9786
-2.7485 -1.0088 2.6525
V F Pt C
1 2 1 1
direct
0.5000 0.5000 0.5000
0.0000 0.5000 0.0000
0.5000 0.0000 0.0000
0.0000 0.0000 0.5000
0.0000 0.0000 0.0000
```

* SG: P4/mmm (123)
* final energy: -5.03 eV/atom